Record 1
# La2CrMoO6

Crystalline La2CrMoO6 at its relaxed geometry (PBEsol, the Alexandria database).

Cell and atoms, written as extended XYZ:
```
10
Lattice="-3.389 -4.087 1.424 0.521 1.404 -5.339 2.615 -3.375 -3.463" Properties=species:S:1:pos:R:3 pbc="T T T"
O -0.939 -5.686 -1.254
O 0.165 -1.776 -0.785
O -1.657 -3.194 -2.501
O 1.403 -2.863 -4.876
O -1.880 -3.474 0.354
O 1.106 -3.988 -2.392
Cr 0.000 0.000 0.000
La 0.067 -1.163 -3.179
La -0.320 -4.894 -4.198
Mo -0.387 -3.731 -1.019
```

Output
final energy: -9.07 eV/atom
E_form (uncorrected): -61.131 kcal/mol of atoms

***

Record 2
# Sr3LaCr2Mo2O12

Crystalline Sr3LaCr2Mo2O12 at its relaxed geometry (PBEsol, the Alexandria database).

Cell and atoms, written as extended XYZ:
```
20
Lattice="5.482 0.000 0.000 0.000 5.512 0.011 0.000 -0.016 7.756" Properties=species:S:1:pos:R:3 pbc="T T T"
Mo 0.000 2.741 3.869
Mo 2.741 0.006 0.018
O 4.097 4.088 7.586
O 0.000 2.553 5.835
O 1.385 4.088 7.586
O 4.111 1.398 0.113
O 4.080 4.111 4.064
O 1.371 1.398 0.113
O 4.091 1.371 3.770
O 1.402 4.111 4.064
O 1.391 1.371 3.770
O 0.000 2.938 1.933
O 2.741 5.323 1.964
O 2.741 0.231 5.803
Sr 0.000 0.015 1.941
Sr 2.741 2.750 1.943
Sr 0.000 5.493 5.826
Cr 2.741 -0.005 3.874
Cr 0.000 2.752 0.006
La 2.741 2.733 5.825
```

Output
final energy: -8.47 eV/atom
E_form (uncorrected): -59.320 kcal/mol of atoms

***

Record 3
# LaCrN3

Crystalline LaCrN3 at its relaxed geometry (PBEsol, the Alexandria database).

Cell and atoms, written as extended XYZ:
```
20
Lattice="5.954 -0.018 -0.019 1.441 6.969 -0.035 1.441 -0.308 6.962" Properties=species:S:1:pos:R:3 pbc="T T T"
Cr 3.492 4.114 5.548
Cr 2.367 1.269 2.588
Cr 5.344 2.528 1.360
Cr 6.469 5.373 4.319
N 2.065 5.364 -0.021
N 3.871 2.571 5.944
N 4.028 2.076 2.488
N 5.042 -0.240 5.349
N 3.795 6.882 1.559
N 7.785 4.228 4.726
N 4.808 4.566 4.419
N 6.848 5.830 2.792
N 6.771 1.279 6.929
N 1.051 2.414 2.181
N 1.989 0.812 4.115
N 4.966 4.071 0.964
La 5.907 2.113 4.606
La 5.907 6.259 0.620
La 2.930 0.383 6.288
La 2.930 4.529 2.302
```

Output
final energy: -9.18 eV/atom
E_form (uncorrected): -21.916 kcal/mol of atoms

***

Record 4
# LaCrSN2

Crystalline LaCrSN2 at its relaxed geometry (PBEsol, the Alexandria database).

Cell and atoms, written as extended XYZ:
```
5
Lattice="-2.516 -2.921 -0.187 1.695 -1.655 3.047 -2.818 2.249 2.790" Properties=species:S:1:pos:R:3 pbc="T T T"
N -1.258 -1.461 -0.093
N 0.848 -0.828 1.523
Cr 0.000 0.000 0.000
La -1.819 -1.164 2.825
S -1.409 1.124 1.395
```

Output
final energy: -8.18 eV/atom
energy relative to the lowest polymorph listed for this composition: 0 meV per atom
E_form (uncorrected): -17.769 kcal/mol of atoms

***

Record 5
# LaCrSN2

Crystalline LaCrSN2 at its relaxed geometry (PBEsol, the Alexandria database).

Cell and atoms, written as extended XYZ:
```
5
Lattice="4.043 0.000 0.000 0.000 4.043 0.000 0.000 0.000 5.907" Properties=species:S:1:pos:R:3 pbc="T T T"
N 2.021 0.000 0.000
N 0.000 2.021 0.000
S 0.000 0.000 2.954
La 0.000 0.000 0.000
Cr 2.021 2.021 2.954
```

Output
final energy: -6.53 eV/atom
energy relative to the lowest polymorph listed for this composition: 1642 meV per atom
E_form (uncorrected): 20.092 kcal/mol of atoms

***

Record 6
# LaCrSb2N

Crystalline LaCrSb2N at its relaxed geometry (PBEsol, the Alexandria database).

Cell and atoms, written as extended XYZ:
```
5
Lattice="-3.213 -1.165 -0.990 -0.869 -1.929 5.090 -2.204 4.838 1.457" Properties=species:S:1:pos:R:3 pbc="T T T"
Sb -1.102 2.419 0.729
Sb -0.435 -0.965 2.545
La -3.143 0.872 2.778
Cr 0.000 0.000 0.000
N -1.607 -0.583 -0.495
```

Output
final energy: -6.92 eV/atom
E_form (uncorrected): -6.286 kcal/mol of atoms

***

Record 7
# Na3LaCr

Crystalline Na3LaCr at its relaxed geometry (PBEsol, the Alexandria database).

Cell and atoms, written as extended XYZ:
```
5
Lattice="6.240 0.000 0.000 0.000 6.240 0.000 0.000 0.000 6.240" Properties=species:S:1:pos:R:3 pbc="T T T"
Cr 3.120 3.120 3.120
Na 0.000 3.120 0.000
Na 3.120 0.000 0.000
Na 0.000 0.000 3.120
La 0.000 0.000 0.000
```

Output
final energy: -2.31 eV/atom

***

Record 8
# LaNbCr3

Crystalline LaNbCr3 at its relaxed geometry (PBEsol, the Alexandria database).

Cell and atoms, written as extended XYZ:
```
5
Lattice="4.404 0.000 0.000 0.000 4.404 0.000 0.000 0.000 4.404" Properties=species:S:1:pos:R:3 pbc="T T T"
Cr 2.202 0.000 0.000
Cr 0.000 0.000 2.202
Cr 0.000 2.202 0.000
Nb 2.202 2.202 2.202
La 0.000 0.000 0.000
```

Output
final energy: -7.44 eV/atom
energy relative to the lowest polymorph listed for this composition: 821 meV per atom

***

- Number 8 is which compound?
  LaNbCr3

***

Repeat the eighth record exactly.
# LaNbCr3

Crystalline LaNbCr3 at its relaxed geometry (PBEsol, the Alexandria database).

Cell and atoms, written as extended XYZ:
```
5
Lattice="4.404 0.000 0.000 0.000 4.404 0.000 0.000 0.000 4.404" Properties=species:S:1:pos:R:3 pbc="T T T"
Cr 2.202 0.000 0.000
Cr 0.000 0.000 2.202
Cr 0.000 2.202 0.000
Nb 2.202 2.202 2.202
La 0.000 0.000 0.000
```

Output
final energy: -7.44 eV/atom
energy relative to the lowest polymorph listed for this composition: 821 meV per atom

***

- The highest final energy belongs to which entry?
  Na3LaCr

***

- What is the formula in the third record?
  LaCrN3